Crystalline RbAuN3 at its relaxed geometry, computed with PBE-GGA.

Output
* raw total energy: -2.64 eV per atom
* raw formation energy: 3.207 eV per atom

```
data_RbAuN3
_chemical_formula_sum 'Rb1 Au1 N3'
_space_group_name_H-M_alt 'P m -3 m'
_space_group_IT_number 221
_space_group_name_Hall '-P 4 2 3'
_cell_length_a 5.0271
_cell_length_b 5.0271
_cell_length_c 5.0271
_cell_angle_alpha 90.00
_cell_angle_beta 90.00
_cell_angle_gamma 90.00
loop_
_atom_site_label
_atom_site_fract_x
_atom_site_fract_y
_atom_site_fract_z
_atom_site_occupancy
Rb1 0.0000 0.0000 0.0000 1
Au1 0.5000 0.5000 0.5000 1
N1 0.0000 0.0000 0.5000 1
```

Crystalline CeWN2 at its relaxed geometry, computed with PBE-GGA.

Output
* raw total energy: -9.94 eV per atom
* raw formation energy: -1.058 eV per atom
* energy relative to the lowest polymorph listed for this composition: 0.000 eV/atom

```
data_CeWN2
_chemical_formula_sum 'Ce4 W4 N8'
_space_group_name_H-M_alt 'P n m a'
_space_group_IT_number 62
_cell_length_a 5.7240
_cell_length_b 3.2564
_cell_length_c 10.9276
_cell_angle_alpha 90.00
_cell_angle_beta 90.00
_cell_angle_gamma 90.00
loop_
_space_group_symop_operation_xyz
'x,y,z'
'-x,-y,-z'
'-x+1/2,-y,z+1/2'
'x+1/2,y,-z+1/2'
'x+1/2,-y+1/2,-z+1/2'
'-x+1/2,y+1/2,z+1/2'
'-x,y+1/2,-z'
'x,-y+1/2,z'
loop_
_atom_site_label
_atom_site_fract_x
_atom_site_fract_y
_atom_site_fract_z
_atom_site_occupancy
Ce1 0.0737 0.2500 0.1436 1
W1 0.0657 0.7500 0.3995 1
N1 0.1691 0.2500 0.7531 1
N2 0.2446 0.2500 0.4921 1
```